Record 1
VASP calculation (GGA-PBE) on a geometry-optimized AcPm3Hg4 structure.

The structure in POSCAR format:
```
AcPm3Hg4
1.0
5.455 0.000 0.000
0.000 5.455 0.000
0.000 0.000 7.813
Ac Pm Hg
1 3 4
direct
0.000 0.000 0.000
0.000 0.000 0.500
0.500 0.500 0.000
0.500 0.500 0.500
0.000 0.500 0.263
0.000 0.500 0.737
0.500 0.000 0.263
0.500 0.000 0.737
```

Properties
density	10.5	g/cm³
total moment	0.205	μB per atom
calculated formation energy	-460	meV/atom
density of states at the Fermi level	8.9	states/eV per cell
DFT total energy	-2.906	eV/atom

***

Record 2
VASP calculation (GGA-PBE) on a geometry-optimized Pr8Y2Sc3 structure.

The structure in POSCAR format:
```
Pr8Y2Sc3
1.0
6.737 -5.768 0.000
6.737 5.768 0.000
-2.295 0.000 5.568
Pr Y Sc
8 2 3
direct
0.086 0.086 0.252
0.112 0.581 0.855
0.364 0.364 0.384
0.419 0.888 0.145
0.581 0.112 0.855
0.636 0.636 0.616
0.888 0.419 0.145
0.914 0.914 0.748
0.183 0.183 0.818
0.817 0.817 0.182
0.230 0.770 0.500
0.500 0.500 0.000
0.770 0.230 0.500
```

Properties
density	5.5	g/cm³
relative energy among the computed polymorphs	0	meV per atom
total moment	0.000	μB per atom
calculated formation energy	181	meV/atom
density of states at the Fermi level	21.0	states/eV per cell
DFT total energy	-5.216	eV/atom

***

What is the formula in the first record?
AcPm3Hg4

***

Which value of density of states at the Fermi level does entry 1 give?
8.9 states/eV per cell